Er2ZnAg2, relaxed, DFT PBE; formation energy from the elements = -252 meV/atom; energy relative to the lowest polymorph listed for this composition = 34 meV/atom; SG = Cmmm, No. 65
1.0
3.4124 0.0000 0.0000
0.0000 4.3907 0.8319
0.0000 0.8476 7.5288
Ag Er Zn
2 2 1
Cartesian
0.0000 3.8698 3.5812
0.0000 1.3686 4.7796
1.7062 1.8807 2.0769
1.7062 3.3577 6.2839
0.0000 0.0000 0.0000

---

Hf2V2Si, relaxed, DFT PBE; energy relative to the elements, uncorrected = -2.52 kcal/mol of atoms; SG = P4/mbm, No. 127
1.0
-2.0731 4.5217 4.1776
-6.0766 -2.2092 -0.6242
0.6176 -2.5720 3.0902
V Hf Si
4 4 2
Cartesian
-6.0637 -0.2461 1.0070
-2.5228 -0.2379 0.3062
-2.0859 2.5586 2.5464
-5.6269 2.5504 3.2472
-1.4269 -0.2006 2.7953
-3.3793 1.7272 4.7901
-6.1052 -0.0589 3.8483
-4.1528 -1.9867 1.8536
0.0000 0.0000 0.0000
-4.0748 1.1562 1.7767